(1)
MoAsIr2 | PBE | optimized geometry

Lattice parameters (Å, degrees): 4.466 4.466 4.466 60.00 60.00 60.00
Positions (direct):
Mo 0.000 0.000 0.000
As 0.500 0.500 0.500
Ir 0.250 0.250 0.250
Ir 0.750 0.750 0.750

Computed properties:
- Space group: Fm-3m, No. 225

---

(2)
Mo2AsIr | PBE | optimized geometry

Lattice parameters (Å, degrees): 9.031 9.031 9.031 18.19 18.19 18.19
Positions (direct):
Mo 0.000 0.000 0.000
Mo 0.244 0.244 0.244
As 0.497 0.497 0.497
Ir 0.747 0.747 0.747

Computed properties:
- Space group: R3m, No. 160

---

(3)
MoAsIr4 | PBE | optimized geometry

Lattice parameters (Å, degrees): 5.181 5.181 5.181 60.00 60.00 60.00
Positions (direct):
Mo 0.000 0.000 0.000
As 0.750 0.750 0.750
Ir 0.375 0.375 0.375
Ir 0.375 0.375 0.876
Ir 0.375 0.876 0.375
Ir 0.876 0.375 0.375

Computed properties:
- Space group: F-43m, No. 216

---

(4)
MoAsIr2 | PBE | optimized geometry

Lattice parameters (Å, degrees): 2.865 2.865 7.455 90.00 90.00 90.00
Positions (direct):
Mo 0.000 0.000 0.000
As 0.000 0.000 0.500
Ir 0.500 0.500 0.247
Ir 0.500 0.500 0.753

Computed properties:
- Space group: P4/mmm, No. 123

---

(5)
Mo2AsIr | PBE | optimized geometry

Lattice parameters (Å, degrees): 5.300 5.300 5.300 147.39 129.92 61.04
Positions (direct):
Mo 0.000 0.000 0.000
Mo 0.711 0.211 0.500
As 0.223 0.723 0.500
Ir 0.446 0.446 0.000

Computed properties:
- Space group: Imm2, No. 44

---

(6)
MoAsIr2 | PBE | optimized geometry

Lattice parameters (Å, degrees): 4.715 4.715 2.813 90.00 90.00 90.00
Positions (direct):
Mo 0.000 0.000 0.000
As 0.500 0.500 0.000
Ir 0.000 0.500 0.500
Ir 0.500 0.000 0.500

Computed properties:
- Space group: P4/mmm, No. 123

---

Calculated volume in Å³ per atom, matching the order above: 15.75, 15.67, 16.39, 15.30, 15.24, 15.64
Formation enthalpy at 0 K in eV per atom, matching the order above: 0.4381, 0.1563, 0.5565, -0.0427, -0.0328, 0.2767